# 1
The following is a PBE calculation of crystalline Ho4In3Sn at its relaxed geometry, from the Alexandria database.

For the total DFT energy (no corrections), the calculation gives -68.77 eV for the cell shown. The energy of formation comes out at -0.482 eV per atom. The total magnetization comes out at 0.00 μB/cell.

The space group is Pmma (No. 51) and the conventional cell measures 10.804, 7.025 and 5.520 Å, with angles of 90.00, 90.00 and 90.00 degrees. The inequivalent atoms are Ho at (0.000, 0.250, 0.000), Ho at (0.250, 0.250, 0.413), In at (0.000, 0.000, 0.500), In at (0.250, 0.000, 0.904), In at (0.250, 0.500, 0.908) and Sn at (0.000, 0.500, 0.500).

# 2
The following is a PBE calculation of crystalline Ho8InSn2 at its relaxed geometry, from the Alexandria database.

For the total DFT energy (no corrections), the calculation gives -101.70 eV for the cell shown. The energy of formation comes out at -0.317 eV per atom. The total magnetization comes out at 0.00 μB/cell.

The space group is C2/m (No. 12) and the conventional cell measures 19.361, 5.072 and 6.782 Å, with angles of 90.00, 104.02 and 90.00 degrees. The inequivalent atoms are Ho at (0.022, 0.000, 0.266), Ho at (0.092, 0.500, 0.977), Ho at (0.158, 0.500, 0.499), Ho at (0.215, 0.000, 0.823), In at (0.000, 0.500, 0.500) and Sn at (0.181, 0.000, 0.258).

# 3
The following is a PBE calculation of crystalline Ho6In5Sn at its relaxed geometry, from the Alexandria database.

Its energy above the most stable polymorph in this dataset is 114.4 meV per atom. For the total DFT energy (no corrections), the calculation gives -98.85 eV for the cell shown. The energy of formation comes out at -0.355 eV per atom. The total magnetization comes out at 0.00 μB/cell.

The space group is C2/m (No. 12) and the conventional cell measures 6.427, 10.866 and 9.881 Å, with angles of 90.00, 101.27 and 90.00 degrees. The inequivalent atoms are Ho at (0.245, 0.000, 0.249), Ho at (0.249, 0.166, 0.749), In at (0.000, 0.169, 0.000), In at (0.000, 0.335, 0.500), In at (0.000, 0.500, 0.000) and Sn at (0.000, 0.000, 0.500).

# 4
The following is a PBE calculation of crystalline Ho2In3Sn2 at its relaxed geometry, from the Alexandria database.

For the total DFT energy (no corrections), the calculation gives -55.45 eV for the cell shown. The energy of formation comes out at -0.335 eV per atom. The total magnetization comes out at 0.00 μB/cell.

The space group is C2/m (No. 12) and the conventional cell measures 11.474, 4.547 and 7.170 Å, with angles of 90.00, 91.92 and 90.00 degrees. The inequivalent atoms are Ho at (0.143, 0.000, 0.392), In at (0.000, 0.000, 0.000), In at (0.241, 0.500, 0.137) and Sn at (0.070, 0.500, 0.682).

# 5
The following is a PBE calculation of crystalline Ho4InSn at its relaxed geometry, from the Alexandria database.

For the total DFT energy (no corrections), the calculation gives -79.27 eV for the cell shown. The energy of formation comes out at -0.228 eV per atom. The total magnetization comes out at 0.00 μB/cell.

The space group is R-3m (No. 166, hexagonal axes) and the conventional cell measures 5.1110, 5.1110 and 24.4555 Å, with angles of 90.00, 90.00 and 120.00 degrees. The inequivalent atoms are Ho at (0.0000, 0.0000, 0.1273), Ho at (0.0000, 0.0000, 0.2847), In at (0.0000, 0.0000, 0.0000) and Sn at (0.0000, 0.0000, 0.5000).

# 6
The following is a PBE calculation of crystalline HoIn2Sn2 at its relaxed geometry, from the Alexandria database.

Its energy above the most stable polymorph in this dataset is 50.1 meV per atom. For the total DFT energy (no corrections), the calculation gives -38.52 eV for the cell shown. The energy of formation comes out at -0.240 eV per atom. The total magnetization comes out at 0.00 μB/cell.

The space group is C2/m (No. 12) and the conventional cell measures 5.789, 5.815 and 8.444 Å, with angles of 90.00, 109.89 and 90.00 degrees. The inequivalent atoms are Ho at (0.000, 0.000, 0.000), In at (0.196, 0.000, 0.396) and Sn at (0.100, 0.500, 0.201).

# 7
The following is a PBE calculation of crystalline Ho2In5Sn at its relaxed geometry, from the Alexandria database.

For the total DFT energy (no corrections), the calculation gives -60.13 eV for the cell shown. The energy of formation comes out at -0.402 eV per atom. The total magnetization comes out at 0.00 μB/cell.

The space group is Pbam (No. 55) and the conventional cell measures 6.623, 13.146 and 4.594 Å, with angles of 90.00, 90.00 and 90.00 degrees. The inequivalent atoms are Ho at (0.236, 0.122, 0.000), In at (0.000, 0.500, 0.500), In at (0.014, 0.749, 0.500), In at (0.236, 0.371, 0.000) and Sn at (0.000, 0.000, 0.500).

# 8
The following is a PBE calculation of crystalline Ho3InSn3 at its relaxed geometry, from the Alexandria database.

For the total DFT energy (no corrections), the calculation gives -62.66 eV for the cell shown. The energy of formation comes out at -0.407 eV per atom. The total magnetization comes out at 0.00 μB/cell.

The space group is P6_3/m (No. 176) and the conventional cell measures 8.7449, 8.7449 and 5.6392 Å, with angles of 90.00, 90.00 and 120.00 degrees. The inequivalent atoms are Ho at (0.0914, 0.4465, 0.2500), In at (0.3333, 0.6667, 0.7500) and Sn at (0.0532, 0.2537, 0.7500).